Record 1
The following is a PBE calculation of an optimized crystal structure of MnVB4, from the Alexandria database.

abc: 3.956 3.956 3.956
angles: 60.00 60.00 60.00
Sites, in units of the cell vectors:
Mn 0.000 0.000 0.000
V 0.750 0.750 0.750
B 0.379 0.379 0.379
B 0.379 0.379 0.863
B 0.379 0.863 0.379
B 0.863 0.379 0.379

Summary:
N(E_F) = 0.546 states/eV/atom
space group = F-43m
total magnetization = 0.00 μB/cell
calculated formation energy = 0.008 eV/atom



Record 2
The following is a PBE calculation of an optimized crystal structure of Pm3InRu, from the Alexandria database.

abc: 5.412 5.412 5.412
angles: 90.00 90.00 90.00
Sites, in units of the cell vectors:
Pm 0.000 0.000 0.500
Pm 0.000 0.500 0.000
Pm 0.500 0.000 0.000
In 0.500 0.500 0.500
Ru 0.000 0.000 0.000

Summary:
N(E_F) = 0.786 states/eV/atom
energy above the lowest structure with this stoichiometry = 0.90 eV/f.u.
space group = Pm-3m
total magnetization = 0.00 μB/cell
calculated formation energy = -0.155 eV/atom



Record 3
The following is a PBE calculation of an optimized crystal structure of La2YTaF, from the Alexandria database.

abc: 5.245 5.245 4.521
angles: 90.00 90.00 90.00
Sites, in units of the cell vectors:
La 0.000 0.500 0.000
La 0.500 0.000 0.000
Y 0.000 0.000 0.500
Ta 0.500 0.500 0.500
F 0.500 0.500 0.000

Summary:
N(E_F) = 1.201 states/eV/atom
raw formation energy = -2.347 eV/f.u.
space group = P4/mmm
total magnetization = 0.00 μB/cell



Record 4
The following is a PBE calculation of an optimized crystal structure of Ba3Sr3Cd2Au, from the Alexandria database.

abc: 9.722 9.722 4.680
angles: 90.00 90.00 120.00
Sites, in units of the cell vectors:
Ba 0.000 0.412 0.000
Ba 0.412 0.000 0.000
Ba 0.588 0.588 0.000
Sr 0.000 0.763 0.500
Sr 0.237 0.237 0.500
Sr 0.763 0.000 0.500
Cd 0.333 0.667 0.500
Cd 0.667 0.333 0.500
Au 0.000 0.000 0.000

Summary:
N(E_F) = 0.905 states/eV/atom
space group = P-62m
total magnetization = 0.00 μB/cell
calculated formation energy = -0.311 eV/atom



Record 5
The following is a PBE calculation of an optimized crystal structure of LiLaTc2C, from the Alexandria database.

abc: 4.187 4.187 4.510
angles: 90.00 90.00 90.00
Sites, in units of the cell vectors:
Li 0.000 0.000 0.000
La 0.500 0.500 0.000
Tc 0.000 0.500 0.500
Tc 0.500 0.000 0.500
C 0.000 0.000 0.500

Summary:
N(E_F) = 1.095 states/eV/atom
space group = P4/mmm
total magnetization = 0.00 μB/cell
calculated formation energy = 0.155 eV/atom



Record 6
The following is a PBE calculation of an optimized crystal structure of SrLiSn4, from the Alexandria database.

abc: 6.318 6.318 6.318
angles: 60.00 60.00 60.00
Sites, in units of the cell vectors:
Sr 0.000 0.000 0.000
Li 0.750 0.750 0.750
Sn 0.375 0.375 0.375
Sn 0.375 0.375 0.874
Sn 0.375 0.874 0.375
Sn 0.874 0.375 0.375

Summary:
N(E_F) = 1.511 states/eV/atom
energy above the lowest structure with this stoichiometry = 0.32 eV/f.u.
space group = F-43m
total magnetization = 0.00 μB/cell
calculated formation energy = -0.245 eV/atom



Record 7
The following is a PBE calculation of an optimized crystal structure of Cd2FeH2, from the Alexandria database.

abc: 7.170 7.170 2.734
angles: 90.00 90.00 90.00
Sites, in units of the cell vectors:
Cd 0.153 0.347 0.000
Cd 0.347 0.847 0.000
Cd 0.653 0.153 0.000
Cd 0.847 0.653 0.000
Fe 0.000 0.000 0.000
Fe 0.500 0.500 0.000
H 0.118 0.618 0.500
H 0.382 0.118 0.500
H 0.618 0.882 0.500
H 0.882 0.382 0.500

Summary:
N(E_F) = 0.594 states/eV/atom
energy above the lowest structure with this stoichiometry = 2.75 eV/f.u.
space group = P4/mbm
total magnetization = 5.77 μB/cell



Record 8
The following is a PBE calculation of an optimized crystal structure of GaRh2Cl, from the Alexandria database.

abc: 8.352 8.352 8.352
angles: 150.97 150.97 41.52
Sites, in units of the cell vectors:
Ga 0.000 0.000 0.000
Ga 0.750 0.250 0.500
Rh 0.153 0.625 0.028
Rh 0.375 0.403 0.528
Rh 0.597 0.125 0.972
Rh 0.875 0.847 0.472
Cl 0.250 0.750 0.500
Cl 0.500 0.500 0.000

Summary:
N(E_F) = 0.798 states/eV/atom
raw formation energy = 0.585 eV/f.u.
energy above the lowest structure with this stoichiometry = 0.00 eV/f.u.
space group = I-42d
total magnetization = 0.00 μB/cell



Record 9
The following is a PBE calculation of an optimized crystal structure of U2As3Se, from the Alexandria database.

abc: 3.967 3.967 8.242
angles: 90.00 90.00 90.00
Sites, in units of the cell vectors:
U 0.000 0.000 0.000
U 0.500 0.500 0.439
As 0.000 0.500 0.720
As 0.500 0.000 0.720
As 0.500 0.500 0.079
Se 0.000 0.000 0.357

Summary:
N(E_F) = 1.991 states/eV/atom
raw formation energy = -4.870 eV/f.u.
energy above the lowest structure with this stoichiometry = 0.00 eV/f.u.
space group = P4mm
total magnetization = 4.09 μB/cell



Record 10
The following is a PBE calculation of an optimized crystal structure of AlSbAs, from the Alexandria database.

abc: 4.113 4.113 11.015
angles: 89.99 89.97 60.02
Sites, in units of the cell vectors:
Al 0.000 0.000 0.000
Al 0.333 0.334 0.702
Sb 0.000 0.996 0.250
Sb 0.334 0.329 0.399
As 0.333 0.333 0.933
As 0.667 0.667 0.627

Summary:
N(E_F) = 0.044 states/eV/atom
raw formation energy = -0.542 eV/f.u.
space group = P1
total magnetization = 0.00 μB/cell



Record 11
The following is a PBE calculation of an optimized crystal structure of YPa2RuC4, from the Alexandria database.

abc: 6.159 6.159 11.837
angles: 90.00 90.00 146.39
Sites, in units of the cell vectors:
Y 0.117 0.883 0.750
Y 0.883 0.117 0.250
Pa 0.367 0.633 0.544
Pa 0.367 0.633 0.956
Pa 0.633 0.367 0.044
Pa 0.633 0.367 0.456
Ru 0.146 0.854 0.250
Ru 0.854 0.146 0.750
C 0.000 0.000 0.000
C 0.000 0.000 0.500
C 0.265 0.735 0.127
C 0.265 0.735 0.373
C 0.439 0.561 0.750
C 0.561 0.439 0.250
C 0.735 0.265 0.627
C 0.735 0.265 0.873

Summary:
N(E_F) = 0.616 states/eV/atom
space group = Cmcm
total magnetization = 0.00 μB/cell
calculated formation energy = -0.133 eV/atom



Record 12
The following is a PBE calculation of an optimized crystal structure of ThHg2Au, from the Alexandria database.

abc: 4.928 6.689 6.689
angles: 117.73 90.00 90.00
Sites, in units of the cell vectors:
Th 0.250 0.147 0.853
Th 0.750 0.853 0.147
Hg 0.250 0.209 0.382
Hg 0.250 0.689 0.353
Hg 0.750 0.353 0.689
Hg 0.750 0.382 0.209
Au 0.250 0.668 0.844
Au 0.750 0.844 0.668

Summary:
N(E_F) = 0.669 states/eV/atom
energy above the lowest structure with this stoichiometry = 0.07 eV/f.u.
space group = Ama2
total magnetization = 0.00 μB/cell
calculated formation energy = -0.356 eV/atom



Record 13
The following is a PBE calculation of an optimized crystal structure of GaCo2Te2, from the Alexandria database.

abc: 7.743 7.743 7.743
angles: 151.68 151.68 40.48
Sites, in units of the cell vectors:
Ga 0.000 0.000 0.000
Co 0.250 0.750 0.500
Co 0.750 0.250 0.500
Te 0.362 0.362 0.000
Te 0.638 0.638 0.000

Summary:
N(E_F) = 1.152 states/eV/atom
raw formation energy = 0.175 eV/f.u.
space group = I4/mmm
total magnetization = 0.00 μB/cell



Record 14
The following is a PBE calculation of an optimized crystal structure of LiReAg4, from the Alexandria database.

abc: 5.398 5.398 5.398
angles: 60.00 60.00 60.00
Sites, in units of the cell vectors:
Li 0.000 0.000 0.000
Re 0.750 0.750 0.750
Ag 0.375 0.375 0.375
Ag 0.375 0.375 0.875
Ag 0.375 0.875 0.375
Ag 0.875 0.375 0.375

Summary:
N(E_F) = 0.500 states/eV/atom
space group = F-43m
total magnetization = 2.98 μB/cell
calculated formation energy = 0.707 eV/atom



Record 15
The following is a PBE calculation of an optimized crystal structure of Sm3Sn2Rh, from the Alexandria database.

abc: 12.582 4.442 11.853
angles: 90.00 90.00 90.00
Sites, in units of the cell vectors:
Sm 0.052 0.250 0.129
Sm 0.121 0.750 0.547
Sm 0.238 0.250 0.792
Sm 0.262 0.750 0.292
Sm 0.379 0.250 0.047
Sm 0.448 0.750 0.629
Sm 0.552 0.250 0.371
Sm 0.621 0.750 0.953
Sm 0.738 0.250 0.708
Sm 0.762 0.750 0.208
Sm 0.879 0.250 0.453
Sm 0.948 0.750 0.871
Sn 0.001 0.750 0.309
Sn 0.189 0.750 0.000
Sn 0.311 0.250 0.500
Sn 0.499 0.250 0.809
Sn 0.501 0.750 0.191
Sn 0.689 0.750 0.500
Sn 0.811 0.250 0.000
Sn 0.999 0.250 0.691
Rh 0.128 0.250 0.368
Rh 0.372 0.750 0.868
Rh 0.628 0.250 0.132
Rh 0.872 0.750 0.632

Summary:
N(E_F) = 0.451 states/eV/atom
space group = Pnma
total magnetization = 0.00 μB/cell
calculated formation energy = -0.795 eV/atom



Record 16
The following is a PBE calculation of an optimized crystal structure of CdAsRu2, from the Alexandria database.

abc: 2.961 2.961 8.467
angles: 90.00 90.00 117.55
Sites, in units of the cell vectors:
Cd 0.000 0.000 0.000
As 0.000 0.000 0.500
Ru 0.500 0.500 0.283
Ru 0.500 0.500 0.717

Summary:
N(E_F) = 0.916 states/eV/atom
energy above the lowest structure with this stoichiometry = 0.86 eV/f.u.
space group = Cmmm
total magnetization = 0.00 μB/cell
calculated formation energy = 0.284 eV/atom



Record 17
The following is a PBE calculation of an optimized crystal structure of KBiCl2, from the Alexandria database.

abc: 9.742 9.742 9.742
angles: 23.41 23.41 23.41
Sites, in units of the cell vectors:
K 0.000 0.000 0.000
Bi 0.500 0.500 0.500
Cl 0.404 0.404 0.404
Cl 0.596 0.596 0.596

Summary:
N(E_F) = 0.171 states/eV/atom
raw formation energy = -4.477 eV/f.u.
energy above the lowest structure with this stoichiometry = 0.00 eV/f.u.
space group = R-3m
total magnetization = 0.00 μB/cell



Record 18
The following is a PBE calculation of an optimized crystal structure of CeHoErAl, from the Alexandria database.

abc: 5.303 5.303 5.303
angles: 60.00 60.00 60.00
Sites, in units of the cell vectors:
Ce 0.000 0.000 0.000
Ho 0.750 0.750 0.750
Er 0.500 0.500 0.500
Al 0.250 0.250 0.250

Summary:
N(E_F) = 1.988 states/eV/atom
space group = F-43m
total magnetization = 0.19 μB/cell
calculated formation energy = -0.039 eV/atom



Record 19
The following is a PBE calculation of an optimized crystal structure of LiCaTi2, from the Alexandria database.

abc: 11.651 11.651 11.651
angles: 160.88 160.88 27.17
Sites, in units of the cell vectors:
Li 0.000 0.000 0.000
Li 0.750 0.250 0.500
Ca 0.250 0.750 0.500
Ca 0.500 0.500 0.000
Ti 0.110 0.125 0.485
Ti 0.375 0.890 0.015
Ti 0.640 0.625 0.515
Ti 0.875 0.360 0.985

Summary:
N(E_F) = 1.847 states/eV/atom
energy above the lowest structure with this stoichiometry = 0.00 eV/f.u.
space group = I-42d
total magnetization = 0.00 μB/cell
calculated formation energy = 0.645 eV/atom



Record 20
The following is a PBE calculation of an optimized crystal structure of LiCuRu2, from the Alexandria database.

abc: 2.544 4.152 5.031
angles: 90.00 90.00 90.00
Sites, in units of the cell vectors:
Li 0.000 0.000 0.000
Cu 0.000 0.000 0.500
Ru 0.500 0.500 0.240
Ru 0.500 0.500 0.760

Summary:
N(E_F) = 1.238 states/eV/atom
energy above the lowest structure with this stoichiometry = 0.76 eV/f.u.
space group = Pmmm
total magnetization = 0.00 μB/cell
calculated formation energy = 0.329 eV/atom